[1]
# Sm5GaPb2 | Alexandria | GGA-PBE | relaxed
data_Sm5GaPb2
_cell_length_a 8.151
_cell_length_b 12.541
_cell_length_c 4.785
_cell_angle_alpha 90.00
_cell_angle_beta 90.00
_cell_angle_gamma 90.00
_symmetry_space_group_name_H-M 'P b a m'
_symmetry_Int_Tables_number 55
_symmetry_space_group_name_Hall '-P 2 2ab'
loop_
_atom_site_label
_atom_site_type_symbol
_atom_site_fract_x
_atom_site_fract_y
_atom_site_fract_z
Sm1 Sm 0.000 0.000 0.000
Sm2 Sm 0.153 0.284 0.000
Sm3 Sm 0.190 0.567 0.500
Ga1 Ga 0.000 0.500 0.000
Pb1 Pb 0.077 0.829 0.500
# E_tot = -75.967 eV per cell
# Formation energy = -0.493 eV/atom
# Spin magnetization = 0.000 μB/atom

[2]
# Dy2SnOs | Alexandria | GGA-PBE | relaxed
data_Dy2SnOs
_cell_length_a 3.377
_cell_length_b 3.377
_cell_length_c 8.289
_cell_angle_alpha 90.00
_cell_angle_beta 90.00
_cell_angle_gamma 90.00
_symmetry_space_group_name_H-M 'P 4/m m m'
_symmetry_Int_Tables_number 123
_symmetry_space_group_name_Hall '-P 4 2'
loop_
_atom_site_label
_atom_site_type_symbol
_atom_site_fract_x
_atom_site_fract_y
_atom_site_fract_z
Dy1 Dy 0.000 0.000 0.203
Sn1 Sn 0.500 0.500 0.500
Os1 Os 0.500 0.500 0.000
# E_tot = -26.250 eV per cell
# Formation energy = -0.453 eV/atom
# Distance to the lowest polymorph of the same formula = 0.0000 eV/atom
# Spin magnetization = 0.000 μB/atom

[3]
# Ba2TlS | Alexandria | GGA-PBE | relaxed
data_Ba2TlS
_cell_length_a 3.892
_cell_length_b 3.892
_cell_length_c 9.036
_cell_angle_alpha 90.00
_cell_angle_beta 90.00
_cell_angle_gamma 90.00
_symmetry_space_group_name_H-M 'P 4/m m m'
_symmetry_Int_Tables_number 123
_symmetry_space_group_name_Hall '-P 4 2'
loop_
_atom_site_label
_atom_site_type_symbol
_atom_site_fract_x
_atom_site_fract_y
_atom_site_fract_z
Ba1 Ba 0.000 0.000 0.208
Tl1 Tl 0.500 0.500 0.500
S1 S 0.500 0.500 0.000
# Energy relative to the elements, uncorrected = -1.037 eV/atom
# E_tot = -14.485 eV per cell
# Distance to the lowest polymorph of the same formula = 0.0000 eV/atom
# Spin magnetization = 0.000 μB/atom

[4]
# NdInAgPd | Alexandria | GGA-PBE | relaxed
data_NdInAgPd
_cell_length_a 4.8277
_cell_length_b 4.8277
_cell_length_c 13.2743
_cell_angle_alpha 90.00
_cell_angle_beta 90.00
_cell_angle_gamma 120.00
_symmetry_space_group_name_H-M 'R 3 m'
_symmetry_Int_Tables_number 160
_symmetry_space_group_name_Hall 'R 3 -2"'
loop_
_atom_site_label
_atom_site_type_symbol
_atom_site_fract_x
_atom_site_fract_y
_atom_site_fract_z
Nd1 Nd 0.0000 0.0000 0.0000
In1 In 0.0000 0.0000 0.5122
Ag1 Ag 0.0000 0.0000 0.7703
Pd1 Pd 0.0000 0.0000 0.2245
# E_tot = -52.925 eV per cell
# Formation energy = -0.523 eV/atom
# Spin magnetization = 0.000 μB/atom